No. 1
A relaxed structure of AcNi. Source: OQMD via LeMat-Bulk, functional PBE-GGA.

a b c (Å): 4.560 4.560 4.560
angles (deg): 60.00 60.00 60.00
Atoms (fractional coordinates):
Ac: 0.000 0.000 0.000
Ni: 0.250 0.250 0.250

The formation energy is 333 meV per atom. For the energy, the calculation gives -9.0 eV/cell. The value obtained for the volume is 33.53 Å³/atom.

No. 2
A relaxed structure of ZrFeCuSb. Source: OQMD via LeMat-Bulk, functional PBE-GGA.

a b c (Å): 4.620 4.620 4.620
angles (deg): 60.00 60.00 60.00
Atoms (fractional coordinates):
Cu: 0.750 0.750 0.750
Fe: 0.500 0.500 0.500
Sb: 0.000 0.000 0.000
Zr: 0.250 0.250 0.250

As for the offset from the most stable computed form: 0.242 eV/atom. For the energy, the calculation gives -24.3 eV/cell. The value obtained for the volume is 17.43 Å³/atom.

No. 3
A relaxed structure of NaTcSnMo. Source: OQMD via LeMat-Bulk, functional PBE-GGA.

a b c (Å): 4.574 4.574 4.574
angles (deg): 60.00 60.00 60.00
Atoms (fractional coordinates):
Mo: 0.500 0.500 0.500
Na: 0.750 0.750 0.750
Sn: 0.000 0.000 0.000
Tc: 0.250 0.250 0.250

As for the offset from the most stable computed form: 0.000 eV/atom. For the energy, the calculation gives -25.1 eV/cell. The value obtained for the volume is 16.92 Å³/atom.

- Which value of volume does entry 2 give?
  17.43 Å³/atom

- What is the energy in the first record?
  -9.0 eV/cell

- Which value of energy does entry 2 give?
  -24.3 eV/cell